NdScO3 PBE optimized geometry; space group = Pnma, No. 62; spin magnetization = 0.0 μB/f.u.; electronic total energy = -8.672 eV per atom; V = 265 Å³ per cell; E_form (uncorrected) = -3.48 eV/atom
1.0
-2.234 4.828 -1.782
-3.181 -2.923 -3.929
-5.964 -0.767 5.399
Nd Sc O
4 4 12
Direct
0.984 0.057 0.750
0.484 0.443 0.250
0.516 0.557 0.750
0.016 0.943 0.250
0.000 0.500 0.500
0.500 0.000 0.500
0.500 0.000 0.000
0.000 0.500 0.000
0.698 0.301 0.559
0.198 0.199 0.441
0.802 0.801 0.941
0.302 0.699 0.059
0.302 0.699 0.441
0.802 0.801 0.559
0.198 0.199 0.059
0.698 0.301 0.941
0.889 0.542 0.250
0.389 0.958 0.750
0.611 0.042 0.250
0.111 0.458 0.750